Entry 1:
DFT (PBE-GGA) results for an optimized crystal structure of Mo2W2Se7.

Unit cell a=6.595 b=6.595 c=6.545 alpha=92.30 beta=92.30 gamma=111.19
Positions (direct):
Mo: 0.181 0.181 0.358
Mo: 0.819 0.819 0.642
W: 0.130 0.870 0.000
W: 0.870 0.130 0.000
Se: 0.069 0.466 0.219
Se: 0.166 0.166 0.765
Se: 0.466 0.069 0.219
Se: 0.500 0.500 0.500
Se: 0.534 0.931 0.781
Se: 0.834 0.834 0.235
Se: 0.931 0.534 0.781

Summary:
The value obtained for the raw formation energy is -0.017 eV per atom. Its space-group type is C2/m (12). As for the size of the total moment: 0.000 μB per formula unit. The calculation puts the energy at -6.559 eV/atom.

Entry 2:
DFT (PBE-GGA) results for an optimized crystal structure of P2PdS6.

Unit cell a=6.350 b=6.350 c=7.057 alpha=90.00 beta=90.00 gamma=120.00
Positions (direct):
P: 0.333 0.667 0.052
P: 0.667 0.333 0.948
Pd: 0.000 0.000 0.000
S: 0.171 0.341 0.214
S: 0.171 0.829 0.214
S: 0.341 0.171 0.786
S: 0.659 0.829 0.214
S: 0.829 0.171 0.786
S: 0.829 0.659 0.786

Summary:
The value obtained for the raw formation energy is 0.084 eV per atom. Its space-group type is P-3m1 (164). As for the size of the total moment: 1.686 μB per formula unit. The calculation puts the energy at -4.446 eV/atom.

no.,D(E_F) (states/eV/atom)
1,0.525
2,0.399